First-principles (PBE-GGA) data for TbPm2Lu after structural relaxation, as listed in the Alexandria database.

Calculated values
* space group: P4/mmm, No. 123
* DFT formation energy: 0.02 eV per atom

a b c (Å): 5.0804 5.0804 5.0196
angles (deg): 90.00 90.00 90.00
Last column: nearest neighbours and their distance in Å.
Positions (direct):
Tb1 0.0000 0.0000 0.0000  8 Pm 3.57, 4 Lu 3.59
Pm1 0.0000 0.5000 0.5000  4 Tb 3.57, 4 Lu 3.57, 4 Pm 3.59
Pm2 0.5000 0.0000 0.5000  4 Tb 3.57, 4 Lu 3.57, 4 Pm 3.59
Lu1 0.5000 0.5000 0.0000  8 Pm 3.57, 4 Tb 3.59



First-principles (PBE-GGA) data for Sr2HgGe after structural relaxation, as listed in the Alexandria database.

Calculated values
* space group: Immm, No. 71
* DFT formation energy: 0.38 eV per atom

a b c (Å): 3.9011 6.8343 12.6413
angles (deg): 90.00 90.00 90.00
Last column: nearest neighbours and their distance in Å.
Positions (direct):
Sr1 0.0000 0.0000 0.2477  1 Ge 3.13, 1 Hg 3.19
Sr2 0.0000 0.0000 0.7523  1 Ge 3.13, 1 Hg 3.19
Sr3 0.5000 0.5000 0.2523  1 Ge 3.13, 1 Hg 3.19
Sr4 0.5000 0.5000 0.7477  1 Ge 3.13, 1 Hg 3.19
Hg1 0.0000 0.0000 0.5000  2 Sr 3.19
Hg2 0.5000 0.5000 0.0000  2 Sr 3.19
Ge1 0.0000 0.0000 0.0000  2 Sr 3.13
Ge2 0.5000 0.5000 0.5000  2 Sr 3.13



First-principles (PBE-GGA) data for Cs3Pm3ReO8 after structural relaxation, as listed in the Alexandria database.

Calculated values
* formation energy from raw total energies: -3279 kJ/mol of formula units
* space group: R-3m, No. 166

a b c (Å): 8.0681 8.0681 8.0681
angles (deg): 52.08 52.08 52.08
Last column: nearest neighbours and their distance in Å.
Positions (direct):
Cs1 0.0000 0.5000 0.5000  6 O 3.09-3.10
Cs2 0.5000 0.0000 0.5000  6 O 3.09-3.10
Cs3 0.5000 0.5000 0.0000  6 O 3.09-3.10
Pm1 0.0000 0.0000 0.5000  6 O 2.35-2.41
Pm2 0.0000 0.5000 0.0000  6 O 2.35-2.41
Pm3 0.5000 0.0000 0.0000  6 O 2.35-2.41
Re1 0.5000 0.5000 0.5000  6 O 2.13
O1 0.2218 0.2218 0.2218  3 Pm 2.35
O2 0.2521 0.7013 0.7013  1 Re 2.13
O3 0.2987 0.2987 0.7479  1 Re 2.13
O4 0.2987 0.7479 0.2987  1 Re 2.13
O5 0.7013 0.2521 0.7013  1 Re 2.13
O6 0.7013 0.7013 0.2521  1 Re 2.13
O7 0.7479 0.2987 0.2987  1 Re 2.13
O8 0.7782 0.7782 0.7782  3 Pm 2.35



First-principles (PBE-GGA) data for Na5Al4Ge4 after structural relaxation, as listed in the Alexandria database.

Calculated values
* space group: I4/m, No. 87
* DFT formation energy: -0.12 eV per atom

a b c (Å): 8.7194 8.7194 8.7194
angles (deg): 93.10 93.10 153.10
Last column: nearest neighbours and their distance in Å.
Positions (direct):
Na1 0.0000 0.0000 0.0000  4 Ge 3.26, 8 Na 3.61
Na2 0.2956 0.3583 0.6539  5 Ge 3.13-3.18, 3 Al 3.32-3.42, 2 Na 3.47
Na3 0.3583 0.7044 0.0627  5 Ge 3.13-3.18, 3 Al 3.32-3.42, 2 Na 3.47
Na4 0.6417 0.2956 0.9373  5 Ge 3.13-3.18, 3 Al 3.32-3.42, 2 Na 3.47
Na5 0.7044 0.6417 0.3461  5 Ge 3.13-3.18, 3 Al 3.32-3.42, 2 Na 3.47
Al1 0.1017 0.5804 0.6821  3 Ge 2.55-2.59
Al2 0.4196 0.1017 0.5212  3 Ge 2.55-2.59
Al3 0.5804 0.8983 0.4788  3 Ge 2.55-2.59
Al4 0.8983 0.4196 0.3179  3 Ge 2.55-2.59
Ge1 0.0468 0.2676 0.3144  3 Al 2.55-2.59
Ge2 0.2676 0.9532 0.2208  3 Al 2.55-2.59
Ge3 0.7324 0.0468 0.7792  3 Al 2.55-2.59
Ge4 0.9532 0.7324 0.6856  3 Al 2.55-2.59



First-principles (PBE-GGA) data for Ca2FeN2 after structural relaxation, as listed in the Alexandria database.

Calculated values
* formation energy from raw total energies: -345 kJ/mol of formula units
* space group: C2/m, No. 12

a b c (Å): 5.9753 5.9753 6.6993
angles (deg): 118.18 118.18 49.09
Last column: nearest neighbours and their distance in Å.
Positions (direct):
Ca1 0.0401 0.0401 0.2744  4 N 2.34-2.53
Ca2 0.3188 0.3188 0.8967  5 N 2.45-2.71
Ca3 0.6812 0.6812 0.1033  5 N 2.45-2.71
Ca4 0.9599 0.9599 0.7256  4 N 2.34-2.53
Fe1 0.3733 0.3733 0.3711  3 N 1.81-1.86
Fe2 0.6267 0.6267 0.6289  3 N 1.81-1.86
N1 0.1908 0.1908 0.1209  1 Fe 1.81
N2 0.4808 0.4808 0.6967  2 Fe 1.86
N3 0.5192 0.5192 0.3033  2 Fe 1.86
N4 0.8092 0.8092 0.8791  1 Fe 1.81



First-principles (PBE-GGA) data for SrDyS2 after structural relaxation, as listed in the Alexandria database.

Calculated values
* formation energy from raw total energies: -786 kJ/mol of formula units
* space group: C2/m, No. 12

a b c (Å): 6.9834 4.0325 7.1650
angles (deg): 90.00 108.84 90.00
Last column: nearest neighbours and their distance in Å.
Positions (direct):
Sr1 0.0000 0.0000 0.0000  6 S 2.96-2.97
Sr2 0.5000 0.5000 0.0000  6 S 2.96-2.97
Dy1 0.0000 0.5000 0.5000  6 S 2.79-2.80
Dy2 0.5000 0.0000 0.5000  6 S 2.79-2.80
S1 0.2429 0.0000 0.7288  3 Dy 2.79-2.80, 3 Sr 2.96-2.97
S2 0.2571 0.5000 0.2712  3 Dy 2.79-2.80, 3 Sr 2.96-2.97
S3 0.7429 0.5000 0.7288  3 Dy 2.79-2.80, 3 Sr 2.96-2.97
S4 0.7571 0.0000 0.2712  3 Dy 2.79-2.80, 3 Sr 2.96-2.97



Question: What is the formula in the second record?
Answer: Sr2HgGe